HOsSe2N (PBE-GGA, relaxed); total DFT energy (no corrections) = -25.120 eV/f.u.; space group = P4/mmm; total magnetic moment = 0.4 μB/cell; excess energy over the best structure of this formula in the dataset = 0.0 kJ per mole of atoms
1.0
5.084 0.000 0.000
0.000 5.084 0.000
0.000 0.000 3.667
H Os Se N
1 1 2 1
Direct
0.000 0.000 0.000
0.500 0.500 0.500
0.000 0.500 0.500
0.500 0.000 0.500
0.500 0.500 0.000

Er3Tm2ScSb6 (PBE-GGA, relaxed); total DFT energy (no corrections) = -66.350 eV/f.u.; space group = C2/m; total magnetic moment = 0.0 μB/cell
1.0
9.408 -2.159 0.000
9.408 2.159 0.000
-1.971 0.000 8.407
Er Tm Sc Sb
3 2 1 6
Direct
0.000 0.000 0.000
0.332 0.332 0.666
0.668 0.668 0.334
0.334 0.334 0.167
0.666 0.666 0.833
0.000 0.000 0.500
0.163 0.163 0.582
0.167 0.167 0.083
0.499 0.499 0.741
0.501 0.501 0.259
0.833 0.833 0.917
0.837 0.837 0.418

Ni2PbW (PBE-GGA, relaxed); total DFT energy (no corrections) = -26.853 eV/f.u.; space group = P4/mmm; energy relative to the elements = 0.34 eV per atom; total magnetic moment = 0.0 μB/cell
1.0
2.926 0.000 0.000
0.000 2.926 0.000
0.000 0.000 7.518
Ni Pb W
2 1 1
Direct
0.000 0.000 0.214
0.000 0.000 0.786
0.500 0.500 0.500
0.500 0.500 0.000

TiZnRuRh (PBE-GGA, relaxed); total DFT energy (no corrections) = -28.115 eV/f.u.; space group = P4mm; energy relative to the elements = -0.58 eV per atom; total magnetic moment = 0.0 μB/cell; excess energy over the best structure of this formula in the dataset = 0.0 kJ per mole of atoms
1.0
3.080 0.000 0.000
0.000 3.080 0.000
0.000 0.000 6.016
Ti Zn Ru Rh
1 1 1 1
Direct
0.000 0.000 0.000
0.000 0.000 0.510
0.500 0.500 0.762
0.500 0.500 0.261

LaFeIr2 (PBE-GGA, relaxed); total DFT energy (no corrections) = -30.646 eV/f.u.; space group = Immm; energy relative to the elements = 0.12 eV per atom; total magnetic moment = 2.4 μB/cell
1.0
-1.476 2.409 4.857
1.476 -2.409 4.857
1.476 2.409 -4.857
La Fe Ir
1 1 2
Direct
0.000 0.000 0.000
0.500 0.500 0.000
0.278 0.778 0.500
0.722 0.222 0.500

Ga2SbF2 (PBE-GGA, relaxed); total DFT energy (no corrections) = -20.058 eV/f.u.; space group = P4/mbm; total magnetic moment = 0.0 μB/cell; excess energy over the best structure of this formula in the dataset = 0.0 kJ per mole of atoms
1.0
8.173 0.000 0.000
0.000 8.173 0.000
0.000 0.000 3.137
Ga Sb F
4 2 4
Direct
0.231 0.269 0.000
0.269 0.769 0.000
0.731 0.231 0.000
0.769 0.731 0.000
0.000 0.000 0.000
0.500 0.500 0.000
0.120 0.380 0.500
0.380 0.880 0.500
0.620 0.120 0.500
0.880 0.620 0.500